Entry 1:
Density functional theory data (PBE) for a relaxed structure of Ta2NiSb.

```
Ta2NiSb
1.0
-0.671 2.966 -2.388
1.856 -1.862 -2.835
-7.981 -3.674 -5.449
Sb Ni Ta
2 2 4
Direct
0.000 0.000 0.000
0.750 0.250 0.500
0.500 0.500 0.000
0.250 0.750 0.500
0.623 0.125 0.250
0.127 0.625 0.250
0.375 0.377 0.750
0.875 0.873 0.750
```

## Properties
Formation energy (no corrections) = 430 meV/atom
Fermi-level density of states = 6.8 states/eV/cell
Density = 12.1 g/cm³
Magnetization = 0.000 μB/f.u.

Entry 2:
Density functional theory data (PBE) for a relaxed structure of TaNi2Sb2.

```
TaNi2Sb2
1.0
-0.734 -4.136 -5.472
4.539 -4.418 2.731
-2.647 -1.704 1.643
Sb Ni Ta
4 4 2
Direct
0.178 0.678 0.500
0.678 0.822 0.500
0.822 0.322 0.500
0.322 0.178 0.500
0.377 0.877 0.000
0.877 0.623 0.000
0.623 0.123 0.000
0.123 0.377 0.000
0.000 0.000 0.000
0.500 0.500 0.000
```

## Properties
Formation energy (no corrections) = 40 meV/atom
Fermi-level density of states = 12.6 states/eV/cell
Density = 10.7 g/cm³
Magnetization = 0.000 μB/f.u.

Entry 3:
Density functional theory data (PBE) for a relaxed structure of TaNi2Sb.

```
TaNi2Sb
1.0
4.218 0.000 0.000
0.000 2.917 -0.028
0.000 0.055 5.183
Ni Sb Ta
2 1 1
Direct
0.000 0.249 0.980
0.500 0.249 0.232
0.000 0.251 0.489
0.500 0.750 0.799
```

## Properties
Formation energy (no corrections) = 12 meV/atom
Fermi-level density of states = 2.2 states/eV/cell
Density = 10.9 g/cm³
Magnetization = 0.000 μB/f.u.

Entry 4:
Density functional theory data (PBE) for a relaxed structure of Ta2NiSb.

```
Ta2NiSb
1.0
9.086 -0.010 -0.006
8.583 2.981 -0.006
8.583 1.443 2.608
Ni Sb Ta
1 1 2
Direct
0.250 0.250 0.250
0.750 0.750 0.750
0.992 0.992 0.992
0.508 0.508 0.508
```

## Properties
Formation energy (no corrections) = 314 meV/atom
Fermi-level density of states = 5.9 states/eV/cell
Density = 12.7 g/cm³
Magnetization = 0.002 μB/f.u.

Entry 5:
Density functional theory data (PBE) for a relaxed structure of Ta2NiSb.

```
Ta2NiSb
1.0
-1.369 -1.767 -1.916
2.786 1.017 -2.930
3.253 -4.268 1.612
Ni Sb Ta
1 1 2
Direct
0.500 0.500 0.250
0.500 0.500 0.750
0.000 0.000 0.014
0.000 0.000 0.486
```

## Properties
Formation energy (no corrections) = 113 meV/atom
Fermi-level density of states = 2.5 states/eV/cell
Density = 13.1 g/cm³
Magnetization = 0.000 μB/f.u.

Entry 6:
Density functional theory data (PBE) for a relaxed structure of Ta2NiSb2.

```
Ta2NiSb2
1.0
-1.251 -5.167 4.695
5.065 2.612 4.224
-2.652 2.262 1.782
Sb Ni Ta
4 2 4
Direct
0.159 0.659 0.500
0.659 0.841 0.500
0.841 0.341 0.500
0.341 0.159 0.500
0.000 0.000 0.000
0.500 0.500 0.000
0.355 0.855 0.000
0.855 0.645 0.000
0.645 0.145 0.000
0.145 0.355 0.000
```

## Properties
Formation energy (no corrections) = 263 meV/atom
Fermi-level density of states = 7.3 states/eV/cell
Density = 11.2 g/cm³
Polymorph energy (0 for the lowest one) = 0 meV per atom
Magnetization = 0.000 μB/f.u.

Question: What is the magnetization in the third record?
Answer: 0.000 μB/f.u.